(1)
Below is crystalline Y2LuZn at its relaxed geometry, with properties calculated at the PBE level.

a b c (Å): 3.9184 5.2331 5.2331
angles (deg): 90.00 90.00 90.00
Element x y z (fractional)
Y 0.0000 0.0000 0.5000
Y 0.0000 0.5000 0.0000
Zn 0.5000 0.0000 0.0000
Lu 0.5000 0.5000 0.5000

calculated volume = 107.3 Å³/cell
SG = P4/mmm, No. 123
energy of formation = -1 kJ/mol of atoms

(2)
Below is crystalline YLuZn4 at its relaxed geometry, with properties calculated at the PBE level.

a b c (Å): 5.4295 5.4295 5.4295
angles (deg): 60.00 60.00 60.00
Element x y z (fractional)
Y 0.0000 0.0000 0.0000
Zn 0.6251 0.6251 0.1248
Zn 0.6251 0.1248 0.6251
Zn 0.6251 0.6251 0.6251
Zn 0.1248 0.6251 0.6251
Lu 0.2500 0.2500 0.2500

calculated volume = 113.2 Å³/cell
SG = F-43m, No. 216
energy of formation = -32 kJ/mol of atoms